No. 1
First-principles (PBE) data for crystalline Ta2AsOs at its relaxed geometry, as listed in Alexandria.

Lattice parameters (Å, degrees): 2.9044 2.9044 27.1645 90.00 90.00 120.00
Space group R-3m (No. 166, hexagonal axes)
Asymmetric unit:
1 Ta 0.0000 0.0000 0.2502 [6 per cell]
2 As 0.0000 0.0000 0.5000 [3 per cell]
3 Os 0.0000 0.0000 0.0000 [3 per cell]

## Properties
The calculation puts the total magnetization at 0.00 μB/atom. The formation energy comes out at 0.082 eV per atom.

***

No. 2
First-principles (PBE) data for crystalline Mn2NiB2 at its relaxed geometry, as listed in Alexandria.

Lattice parameters (Å, degrees): 2.9637 10.4142 2.9153 90.00 90.00 90.00
Space group Cmmm (No. 65)
Asymmetric unit:
1 Mn 0.0000 0.1428 0.0000 [4 per cell]
2 Ni 0.0000 0.5000 0.5000 [2 per cell]
3 B 0.0000 0.2976 0.5000 [4 per cell]

## Properties
The calculation puts the total magnetization at 0.85 μB/atom. The formation energy comes out at -0.319 eV per atom. The value obtained for the energy above the most stable polymorph in this dataset is 27 meV/atom.

***

No. 3
First-principles (PBE) data for crystalline AcDy5Y8 at its relaxed geometry, as listed in Alexandria.

Lattice parameters (Å, degrees): 9.6748 9.6748 10.1259 90.00 90.00 90.00
Space group I-4 (No. 82)
Asymmetric unit:
1 Ac 0.0000 0.0000 0.0000 [2 per cell]
2 Dy 0.0000 0.5000 0.2500 [2 per cell]
3 Dy 0.1123 0.7957 0.5817 [8 per cell]
4 Y 0.0692 0.6655 0.9052 [8 per cell]
5 Y 0.0948 0.8185 0.2543 [8 per cell]

## Properties
The calculation puts the total magnetization at 0.00 μB/atom. The formation energy comes out at 0.277 eV per atom.

***

No. 4
First-principles (PBE) data for crystalline Er12In6H at its relaxed geometry, as listed in Alexandria.

Lattice parameters (Å, degrees): 11.9403 11.9403 12.8198 90.00 90.00 120.00
Space group R-3 (No. 148, hexagonal axes)
Asymmetric unit:
1 Er 0.0364 0.8528 0.3825 [18 per cell]
2 Er 0.0382 0.1841 0.8843 [18 per cell]
3 In 0.0012 0.6057 0.2501 [18 per cell]
4 H 0.0000 0.0000 0.5000 [3 per cell]

## Properties
The calculation puts the total magnetization at 0.00 μB/atom. The value obtained for the uncorrected energy is -235.7 eV per cell.